Entry 1:
Here is a relaxed CrTeAs2 crystal from Alexandria. Energies are from GGA-PBE.

a = 7.1786 Å, b = 7.1786 Å, c = 7.1786 Å
α = 149.18°, β = 150.82°, γ = 42.95°
Last column: nearest neighbours and their distance in Å.
Fractional positions:
As 0.9812 0.9812 0.0000  2 As 2.56, 4 Cr 2.65
As 0.8532 0.3532 0.5000  2 As 2.56, 2 Cr 2.72
Cr 0.5048 0.5048 0.0000  6 As 2.65-2.72, 2 Te 2.76
Te 0.1608 0.6608 0.5000  2 Cr 2.76, 2 As 3.07

As for the total moment: 2.7 Bohr magnetons per cell. For the formation energy from raw total energies, the calculation gives 0.128 eV per atom.

***

Entry 2:
Here is a relaxed Cr2TeAs crystal from Alexandria. Energies are from GGA-PBE.

a = 6.6525 Å, b = 6.6525 Å, c = 6.6525 Å
α = 33.42°, β = 33.42°, γ = 33.42°
Last column: nearest neighbours and their distance in Å.
Fractional positions:
As 0.7500 0.7500 0.7500  6 Cr 2.58
Cr 0.0130 0.0130 0.0130  3 As 2.58, 3 Te 2.86
Cr 0.4870 0.4870 0.4870  3 As 2.58, 3 Te 2.86
Te 0.2500 0.2500 0.2500  6 Cr 2.86

The energy above the lowest structure with this stoichiometry is 0 meV per atom. As for the total moment: 6.9 Bohr magnetons per cell. For the formation energy from raw total energies, the calculation gives -0.017 eV per atom.

***

Entry 3:
Here is a relaxed CrTeAs3 crystal from Alexandria. Energies are from GGA-PBE.

a = 4.7119 Å, b = 4.7119 Å, c = 4.7119 Å
α = 90.00°, β = 90.00°, γ = 90.00°
Last column: nearest neighbours and their distance in Å.
Fractional positions:
Cr 0.0000 0.0000 0.0000  6 As 2.36
As 0.0000 0.5000 0.0000  2 Cr 2.36
As 0.0000 0.0000 0.5000  2 Cr 2.36
As 0.5000 0.0000 0.0000  2 Cr 2.36
Te 0.5000 0.5000 0.5000  12 As 3.33

The energy above the lowest structure with this stoichiometry is 0 meV per atom. As for the total moment: 0.0 Bohr magnetons per cell. For the formation energy from raw total energies, the calculation gives 0.308 eV per atom.

***

Entry 4:
Here is a relaxed Cr2TeAs crystal from Alexandria. Energies are from GGA-PBE.

a = 4.4529 Å, b = 4.4529 Å, c = 4.4529 Å
α = 60.00°, β = 60.00°, γ = 60.00°
Last column: nearest neighbours and their distance in Å.
Fractional positions:
Cr 0.2500 0.2500 0.2500  4 Te 2.73, 4 As 2.73
Cr 0.7500 0.7500 0.7500  4 Te 2.73, 4 As 2.73
As 0.0000 0.0000 0.0000  8 Cr 2.73
Te 0.5000 0.5000 0.5000  8 Cr 2.73

The energy above the lowest structure with this stoichiometry is 356 meV per atom. As for the total moment: 2.7 Bohr magnetons per cell. For the formation energy from raw total energies, the calculation gives 0.339 eV per atom.

***

Entry 5:
Here is a relaxed Cr3TeAs crystal from Alexandria. Energies are from GGA-PBE.

a = 4.8833 Å, b = 4.8833 Å, c = 4.8833 Å
α = 90.00°, β = 90.00°, γ = 90.00°
Last column: nearest neighbours and their distance in Å.
Fractional positions:
Cr 0.0000 0.5000 0.0000  2 As 2.44
Cr 0.0000 0.0000 0.5000  2 As 2.44
Cr 0.5000 0.0000 0.0000  2 As 2.44
As 0.0000 0.0000 0.0000  6 Cr 2.44
Te 0.5000 0.5000 0.5000  12 Cr 3.45

The energy above the lowest structure with this stoichiometry is 0 meV per atom. As for the total moment: 13.0 Bohr magnetons per cell. For the formation energy from raw total energies, the calculation gives 0.550 eV per atom.

***

Entry 6:
Here is a relaxed CrTeAs2 crystal from Alexandria. Energies are from GGA-PBE.

a = 5.4290 Å, b = 3.9425 Å, c = 3.9425 Å
α = 90.00°, β = 90.00°, γ = 90.00°
Last column: nearest neighbours and their distance in Å.
Fractional positions:
As 0.0000 0.0000 0.0000  4 As 2.79
As 0.0000 0.5000 0.5000  4 As 2.79
Cr 0.5000 0.5000 0.0000  4 Te 2.79
Te 0.5000 0.0000 0.5000  4 Cr 2.79

As for the total moment: 3.4 Bohr magnetons per cell. For the formation energy from raw total energies, the calculation gives 0.421 eV per atom.

***

Number 1: final energy -5.39 eV/atom. Number 2: final energy -6.78 eV/atom. Number 3: final energy -5.04 eV/atom. Number 4: final energy -6.42 eV/atom. Number 5: final energy -6.78 eV/atom. Number 6: final energy -5.09 eV/atom.